# 1
Here is an optimized crystal structure of NaCa2Ti from Alexandria via LeMat-Bulk. Energies are from PBE-GGA.

Lattice parameters (Å, degrees): 8.7175 8.7175 7.0816 52.01 52.01 90.00
With the nearest neighbours (Å) after each atom.
Element x y z (fractional)
Na (0.5000, 0.5000, 0.0000)  4 Ca 3.18, 2 Ti 3.49
Na (0.2500, 0.7500, 0.5000)  4 Ca 3.18, 2 Ti 3.49
Ca (0.8750, 0.8716, 0.7500)  2 Na 3.18, 2 Ti 3.22, 2 Ca 3.49
Ca (0.6216, 0.1250, 0.2500)  2 Na 3.18, 2 Ti 3.22, 2 Ca 3.49
Ca (0.3750, 0.3784, 0.7500)  2 Na 3.18, 2 Ti 3.22, 2 Ca 3.49
Ca (0.1284, 0.6250, 0.2500)  2 Na 3.18, 2 Ti 3.22, 2 Ca 3.49
Ti (0.7500, 0.2500, 0.5000)  4 Ca 3.22, 2 Na 3.49
Ti (0.0000, 0.0000, 0.0000)  4 Ca 3.22, 2 Na 3.49

Output
Polymorph energy (0 for the lowest one)   0.79 eV/f.u.
E   -20.78 eV per cell
Symmetry   I-42d

---

# 2
Here is an optimized crystal structure of NaCaTi3 from Alexandria via LeMat-Bulk. Energies are from PBE-GGA.

Lattice parameters (Å, degrees): 5.0043 5.0043 5.0043 90.00 90.00 90.00
With the nearest neighbours (Å) after each atom.
Element x y z (fractional)
Ti (0.0000, 0.5000, 0.0000)  2 Ca 2.50
Ti (0.5000, 0.0000, 0.0000)  2 Ca 2.50
Ti (0.0000, 0.0000, 0.5000)  2 Ca 2.50
Na (0.5000, 0.5000, 0.5000)  12 Ti 3.54
Ca (0.0000, 0.0000, 0.0000)  6 Ti 2.50

Output
Polymorph energy (0 for the lowest one)   1.43 eV/f.u.
E   -18.41 eV per cell
Symmetry   Pm-3m

---

# 3
Here is an optimized crystal structure of NaCaTi3 from Alexandria via LeMat-Bulk. Energies are from PBE-GGA.

Lattice parameters (Å, degrees): 4.9544 4.9544 4.9544 90.00 90.00 90.00
With the nearest neighbours (Å) after each atom.
Element x y z (fractional)
Ti (0.5000, 0.0000, 0.0000)  2 Na 2.48
Ti (0.0000, 0.0000, 0.5000)  2 Na 2.48
Ti (0.0000, 0.5000, 0.0000)  2 Na 2.48
Na (0.0000, 0.0000, 0.0000)  6 Ti 2.48
Ca (0.5000, 0.5000, 0.5000)  12 Ti 3.50

Output
Polymorph energy (0 for the lowest one)   0.00 eV/f.u.
E   -19.84 eV per cell
Symmetry   Pm-3m

---

# 4
Here is an optimized crystal structure of NaCa2YTi from Alexandria via LeMat-Bulk. Energies are from PBE-GGA.

Lattice parameters (Å, degrees): 5.5955 5.8575 5.5955 90.00 90.00 90.00
With the nearest neighbours (Å) after each atom.
Element x y z (fractional)
Y (0.0000, 0.5000, 0.0000)  2 Na 2.93
Ti (0.5000, 0.5000, 0.5000)  4 Y 3.96, 8 Ca 4.05
Na (0.0000, 0.0000, 0.0000)  4 Ca 2.80, 2 Y 2.93
Ca (0.0000, 0.0000, 0.5000)  2 Na 2.80
Ca (0.5000, 0.0000, 0.0000)  2 Na 2.80

Output
Polymorph energy (0 for the lowest one)   0.63 eV/f.u.
E   -14.51 eV per cell
Symmetry   P4/mmm

---

- Among the records above, which one has the highest E?
  NaCa2YTi

---

- Look up the polymorph energy (0 for the lowest one) of the second one.
  1.43 eV/f.u.

---

- What is the E in the first record?
  -20.78 eV per cell